{
  "formula": "Na3TlNi",
  "functional": "meta-GGA SCAN",
  "state": "PBEsol geometry",
  "formation_energy_kj_per_mol_fu": 242,
  "dft_energy_ry_per_atom": -1.4504,
  "crystal_system": "cubic",
  "lattice_angstrom": [[5.2213, 0.0000, 0.0000], [0.0000, 5.2213, 0.0000], [0.0000, 0.0000, 5.2213]],
  "species": ["Na", "Na", "Na", "Tl", "Ni"],
  "frac_coords": [[0.0000, 0.0000, 0.5000], [0.0000, 0.5000, 0.0000], [0.5000, 0.0000, 0.0000], [0.5000, 0.5000, 0.5000], [0.0000, 0.0000, 0.0000]]
}